No. 1
This record from Alexandria describes a geometry-optimized Ac7LaPm12 structure. The functional is GGA-PBE.

abc: 10.5284 10.5284 10.5284
angles: 109.47 109.47 109.47
Sites, in units of the cell vectors:
La: 0.0000 0.0000 0.0000
Pm: 0.3282 0.7546 0.0829
Pm: 0.5736 0.3282 0.2454
Pm: 0.7546 0.0829 0.3282
Pm: 0.2454 0.9171 0.6718
Pm: 0.3282 0.2454 0.5736
Pm: 0.0829 0.3282 0.7546
Ac: 0.5000 0.5000 0.5000
Ac: 0.0000 0.5000 0.0000
Pm: 0.7546 0.4264 0.6718
Pm: 0.6718 0.7546 0.4264
Pm: 0.9171 0.6718 0.2454
Pm: 0.6718 0.2454 0.9171
Ac: 0.0000 0.5000 0.5000
Ac: 0.5000 0.0000 0.0000
Ac: 0.0000 0.0000 0.5000
Pm: 0.2454 0.5736 0.3282
Ac: 0.5000 0.5000 0.0000
Ac: 0.5000 0.0000 0.5000
Pm: 0.4264 0.6718 0.7546

## Properties
As for the total energy: -3.7628 eV per atom. The calculation puts the formation energy from the elements at 0.772 eV per atom.

No. 2
This record from Alexandria describes a geometry-optimized AcLa2Pm6 structure. The functional is GGA-PBE.

abc: 8.8691 8.8691 10.5701
angles: 79.85 79.85 23.44
Sites, in units of the cell vectors:
La: 0.1668 0.1668 0.9648
Pm: 0.9924 0.9924 0.1735
Pm: 0.6713 0.6713 0.6225
Pm: 0.6581 0.6581 0.2757
La: 0.8332 0.8332 0.0352
Ac: 0.0000 0.0000 0.5000
Pm: 0.0076 0.0076 0.8265
Pm: 0.3287 0.3287 0.3775
Pm: 0.3419 0.3419 0.7243

## Properties
As for the total energy: -4.6276 eV per atom. For the excess energy over the best structure of this formula in the dataset, the calculation gives 0.0000 eV per atom. The calculation puts the formation energy from the elements at 0.091 eV per atom.

No. 3
This record from Alexandria describes a geometry-optimized AcLaPm structure. The functional is GGA-PBE.

abc: 3.8125 3.8125 9.2389
angles: 90.00 90.00 120.00
Sites, in units of the cell vectors:
La: 0.3333 0.6667 0.6589
Ac: 0.0000 0.0000 0.0032
Pm: 0.6667 0.3333 0.3380

## Properties
As for the total energy: -4.5611 eV per atom. For the excess energy over the best structure of this formula in the dataset, the calculation gives 0.0031 eV per atom. The calculation puts the formation energy from the elements at 0.034 eV per atom.

No. 4
This record from Alexandria describes a geometry-optimized Ac3La2Pm8 structure. The functional is GGA-PBE.

abc: 5.8191 8.1277 11.4355
angles: 110.82 90.09 90.00
Sites, in units of the cell vectors:
Pm: 0.9981 0.3278 0.6556
Pm: 0.4993 0.1863 0.7772
Pm: 0.0019 0.6722 0.3444
Ac: 0.0000 0.7112 0.0000
La: 0.5029 0.7589 0.5177
Pm: 0.9989 0.1330 0.2660
Pm: 0.4993 0.5908 0.7772
Pm: 0.5007 0.8137 0.2228
Pm: 0.5007 0.4092 0.2228
Pm: 0.0011 0.8670 0.7340
Ac: 0.0000 0.2888 0.0000
La: 0.4971 0.2411 0.4823
Ac: 0.5000 0.0000 0.0000

## Properties
As for the total energy: -4.3673 eV per atom. The calculation puts the formation energy from the elements at 0.262 eV per atom.

No. 5
This record from Alexandria describes a geometry-optimized Ac2LaPm structure. The functional is GGA-PBE.

abc: 6.1218 6.1218 6.1218
angles: 60.00 60.00 60.00
Sites, in units of the cell vectors:
Ac: 0.7500 0.7500 0.7500
La: 0.5000 0.5000 0.5000
Pm: 0.0000 0.0000 0.0000
Ac: 0.2500 0.2500 0.2500

## Properties
As for the total energy: -4.3426 eV per atom. For the excess energy over the best structure of this formula in the dataset, the calculation gives 0.1103 eV per atom. The calculation puts the formation energy from the elements at 0.131 eV per atom.

No. 6
This record from Alexandria describes a geometry-optimized Ac2LaPm structure. The functional is GGA-PBE.

abc: 7.2757 7.8192 13.2946
angles: 90.03 64.13 74.40
Sites, in units of the cell vectors:
Ac: 0.2434 0.9394 0.1012
Ac: 0.2450 0.4394 0.6019
La: 0.7394 0.8140 0.6495
La: 0.2606 0.1860 0.3505
Ac: 0.7572 0.0607 0.3994
La: 0.7409 0.8145 0.1493
Pm: 0.7391 0.3163 0.6516
Ac: 0.7552 0.5608 0.8984
Ac: 0.2448 0.4392 0.1016
Pm: 0.2608 0.6843 0.8486
La: 0.2591 0.1855 0.8507
Ac: 0.2428 0.9393 0.6006
Pm: 0.2609 0.6837 0.3484
Ac: 0.7550 0.5606 0.3981
Pm: 0.7392 0.3157 0.1514
Ac: 0.7566 0.0606 0.8988

## Properties
As for the total energy: -4.4284 eV per atom. For the excess energy over the best structure of this formula in the dataset, the calculation gives 0.0246 eV per atom. The calculation puts the formation energy from the elements at 0.045 eV per atom.

No. 7
This record from Alexandria describes a geometry-optimized AcLa5Pm8 structure. The functional is GGA-PBE.

abc: 8.7660 8.7660 8.7660
angles: 111.46 105.56 111.46
Sites, in units of the cell vectors:
Pm: 0.7144 0.2461 0.3161
La: 0.2889 0.1044 0.9617
Pm: 0.5757 0.9143 0.8277
La: 0.5000 0.0000 0.5000
La: 0.8155 0.6728 0.7111
Pm: 0.3386 0.2520 0.4243
La: 0.0383 0.3272 0.1427
Pm: 0.5318 0.6017 0.2856
Pm: 0.9134 0.0857 0.6614
La: 0.8573 0.8956 0.1845
Pm: 0.0700 0.7539 0.4682
Pm: 0.1723 0.7480 0.0866
Pm: 0.6839 0.3983 0.9300
Ac: 0.2500 0.5000 0.7500

## Properties
As for the total energy: -4.5526 eV per atom. The calculation puts the formation energy from the elements at 0.215 eV per atom.

No. 8
This record from Alexandria describes a geometry-optimized AcLa3Pm12 structure. The functional is GGA-PBE.

abc: 5.2221 5.2221 20.8368
angles: 90.00 90.00 90.00
Sites, in units of the cell vectors:
Pm: 0.5000 0.0000 0.1280
Pm: 0.5000 0.0000 0.6240
La: 0.0000 0.0000 0.5000
Pm: 0.5000 0.5000 0.2520
Pm: 0.5000 0.5000 0.5000
Pm: 0.0000 0.5000 0.1280
Pm: 0.0000 0.5000 0.8720
La: 0.0000 0.0000 0.7482
Pm: 0.5000 0.0000 0.8720
La: 0.0000 0.0000 0.2518
Ac: 0.0000 0.0000 0.0000
Pm: 0.5000 0.5000 0.0000
Pm: 0.0000 0.5000 0.6240
Pm: 0.0000 0.5000 0.3760
Pm: 0.5000 0.0000 0.3760
Pm: 0.5000 0.5000 0.7480

## Properties
As for the total energy: -4.7244 eV per atom. The calculation puts the formation energy from the elements at 0.019 eV per atom.

No. 9
This record from Alexandria describes a geometry-optimized Ac4La3Pm2 structure. The functional is GGA-PBE.

abc: 3.8866 7.1203 15.6801
angles: 62.08 90.00 105.84
Sites, in units of the cell vectors:
La: 0.6160 0.2320 0.3884
Ac: 0.3509 0.7019 0.8715
Ac: 0.6491 0.2981 0.1285
Ac: 0.1125 0.2250 0.6100
La: 0.0000 0.0000 0.0000
Ac: 0.8875 0.7750 0.3900
Pm: 0.6623 0.3245 0.7901
Pm: 0.3377 0.6755 0.2099
La: 0.3840 0.7680 0.6116

## Properties
As for the total energy: -4.4517 eV per atom. The calculation puts the formation energy from the elements at 0.072 eV per atom.

No. 10
This record from Alexandria describes a geometry-optimized AcLaPm structure. The functional is GGA-PBE.

abc: 7.2523 11.4460 6.6457
angles: 30.02 117.34 122.06
Sites, in units of the cell vectors:
Ac: 0.2457 0.3986 0.6931
La: 0.7374 0.9108 0.3447
Pm: 0.7560 0.2513 0.3245
Pm: 0.2440 0.7487 0.6755
La: 0.2626 0.0892 0.6553
Ac: 0.7543 0.6014 0.3069

## Properties
As for the total energy: -4.5533 eV per atom. For the excess energy over the best structure of this formula in the dataset, the calculation gives 0.0109 eV per atom. The calculation puts the formation energy from the elements at 0.042 eV per atom.

No. 11
This record from Alexandria describes a geometry-optimized Ac2LaPm4 structure. The functional is GGA-PBE.

abc: 5.7486 5.7486 9.9530
angles: 106.79 106.79 90.00
Sites, in units of the cell vectors:
Ac: 0.3722 0.3722 0.7444
Pm: 0.5000 0.0000 0.0000
Pm: 0.0000 0.5000 0.0000
Ac: 0.6278 0.6278 0.2556
La: 0.0000 0.0000 0.0000
Pm: 0.1716 0.1716 0.3432
Pm: 0.8284 0.8284 0.6568

## Properties
As for the total energy: -4.0401 eV per atom. For the excess energy over the best structure of this formula in the dataset, the calculation gives 0.2748 eV per atom. The calculation puts the formation energy from the elements at 0.552 eV per atom.

No. 12
This record from Alexandria describes a geometry-optimized Ac2La2Pm3 structure. The functional is GGA-PBE.

abc: 3.7229 9.0250 9.3781
angles: 118.32 101.45 90.00
Sites, in units of the cell vectors:
Ac: 0.8537 0.6699 0.7074
La: 0.4335 0.0941 0.8671
La: 0.5665 0.9059 0.1329
Ac: 0.1463 0.3301 0.2926
Pm: 0.0000 0.5000 0.0000
Pm: 0.7886 0.1921 0.5772
Pm: 0.2114 0.8079 0.4228

## Properties
As for the total energy: -4.5161 eV per atom. For the excess energy over the best structure of this formula in the dataset, the calculation gives 0.0000 eV per atom. The calculation puts the formation energy from the elements at 0.102 eV per atom.

The records above give, respectively, magnetization values of 0.2, 0.0, 0.0, 0.0, 0.3, 0.0, 0.0, 0.0, 0.0, 0.0, 0.0, 0.0 Bohr magnetons per cell.